Density functional theory data (PBE-GGA) for a geometry-optimized SrPrPd4 structure.

Properties
The space group is No. 216. The value obtained for the density is 8.87 g/cm³.

POSCAR file:
```
SrPrPd4
1.0
0.0000 3.9421 3.9421
3.9421 0.0000 3.9421
3.9421 3.9421 0.0000
Sr Pr Pd
1 1 4
direct
0.0000 0.0000 0.0000
0.7500 0.7500 0.7500
0.3751 0.3751 0.3751
0.3751 0.3751 0.8748
0.3751 0.8748 0.3751
0.8748 0.3751 0.3751
```

Density functional theory data (PBE-GGA) for a geometry-optimized SrPrPd2 structure.

Properties
For the excess energy over the best structure of this formula in the dataset, the calculation gives 0.151 eV per atom. The space group is No. 160. The value obtained for the density is 6.41 g/cm³.

POSCAR file:
```
SrPrPd2
1.0
2.0937 1.2088 7.5309
-2.0937 1.2088 7.5309
0.0000 -2.4176 7.5309
Sr Pr Pd
1 1 2
direct
0.0000 0.0000 0.0000
0.8283 0.8283 0.8283
0.2404 0.2404 0.2404
0.4188 0.4188 0.4188
```

Density functional theory data (PBE-GGA) for a geometry-optimized Sr2PrPd9 structure.

Properties
The space group is No. 194. The value obtained for the density is 8.95 g/cm³.

POSCAR file:
```
Sr2PrPd9
1.0
5.4700 0.0000 0.0000
-2.7350 4.7372 0.0000
0.0000 0.0000 18.2509
Sr Pr Pd
4 2 18
direct
0.3333 0.6667 0.0396
0.3333 0.6667 0.4604
0.6667 0.3333 0.5396
0.6667 0.3333 0.9604
0.3333 0.6667 0.2500
0.6667 0.3333 0.7500
0.0000 0.0000 0.0000
0.0000 0.0000 0.2500
0.0000 0.0000 0.5000
0.0000 0.0000 0.7500
0.1673 0.3347 0.6257
0.1673 0.3347 0.8743
0.1673 0.8327 0.6257
0.1673 0.8327 0.8743
0.3333 0.6667 0.7500
0.3347 0.1673 0.1257
0.3347 0.1673 0.3743
0.6653 0.8327 0.6257
0.6653 0.8327 0.8743
0.6667 0.3333 0.2500
0.8327 0.1673 0.1257
0.8327 0.1673 0.3743
0.8327 0.6653 0.1257
0.8327 0.6653 0.3743
```

Density functional theory data (PBE-GGA) for a geometry-optimized SrPrPd2 structure.

Properties
For the excess energy over the best structure of this formula in the dataset, the calculation gives 0.050 eV per atom. The space group is No. 225. The value obtained for the density is 7.36 g/cm³.

POSCAR file:
```
SrPrPd2
1.0
0.0000 3.6788 3.6788
3.6788 0.0000 3.6788
3.6788 3.6788 0.0000
Sr Pr Pd
1 1 2
direct
0.0000 0.0000 0.0000
0.5000 0.5000 0.5000
0.2500 0.2500 0.2500
0.7500 0.7500 0.7500
```

no.,ΔH_f (0 K) (eV/atom)
1,-0.678
2,-0.529
3,-0.571
4,-0.630